An optimized crystal structure of Pa3Zn2Ni7. Source: Alexandria, functional PBE-GGA.

Values from the calculation:
formation energy: -0.327 eV per atom
space-group type: No. 166
volume: 178.78 Å³/f.u.
crystal system: trigonal
total energy: -6.286 eV per atom

abc: 8.607 8.607 8.607
angles: 34.11 34.11 34.11
Element x y z (fractional)
Pa 0.000 0.000 0.000
Pa 0.142 0.142 0.142
Pa 0.858 0.858 0.858
Zn 0.332 0.332 0.332
Zn 0.668 0.668 0.668
Ni 0.085 0.582 0.582
Ni 0.418 0.418 0.915
Ni 0.418 0.915 0.418
Ni 0.500 0.500 0.500
Ni 0.582 0.085 0.582
Ni 0.582 0.582 0.085
Ni 0.915 0.418 0.418